Material: Mo2AuO
Method: DFT, PBE with a Hubbard U
State: optimized geometry

E_tot = -5.238 eV per atom
Volume = 23.0 Å³/atom

Geometry as CIF:
```
data_Mo2AuO
_cell_length_a 5.5928
_cell_length_b 5.5928
_cell_length_c 11.7670
_cell_angle_alpha 90.00
_cell_angle_beta 90.00
_cell_angle_gamma 90.00
_symmetry_space_group_name_H-M 'I -4 2 d'
_symmetry_Int_Tables_number 122
_symmetry_space_group_name_Hall 'I -4 2bw'
loop_
_atom_site_label
_atom_site_type_symbol
_atom_site_fract_x
_atom_site_fract_y
_atom_site_fract_z
_atom_site_occupancy
Mo1 Mo 0.1229 0.2500 0.1250 1
Au1 Au 0.0000 0.0000 0.5000 1
O1 O 0.0000 0.0000 0.0000 1
```